# 1
# CaTbGaPt PBE-GGA optimized geometry
data_CaTbGaPt
_symmetry_space_group_name_H-M 'P 1'
_symmetry_Int_Tables_number 1
_symmetry_space_group_name_Hall 'P 1'
_cell_length_a 4.171
_cell_length_b 6.069
_cell_length_c 6.069
_cell_angle_alpha 38.52
_cell_angle_beta 90.00
_cell_angle_gamma 90.00
loop_
_atom_site_label
_atom_site_fract_x
_atom_site_fract_y
_atom_site_fract_z
Ca1 0.000 0.000 0.000
Tb1 0.500 0.291 0.291
Ga1 0.500 0.582 0.582
Pt1 0.000 0.728 0.728
# total energy: -19.0 eV/f.u.
# DOS(E_F): 0.61 states/eV/atom
# ΔE to the lowest computed polymorph: 0 meV per atom
# ΔE_f: -0.82 eV per atom
# space-group type: No. 38

# 2
# Ca2TbGa3Pt4 PBE-GGA optimized geometry
data_Ca2TbGa3Pt4
_symmetry_space_group_name_H-M 'P 1'
_symmetry_Int_Tables_number 1
_symmetry_space_group_name_Hall 'P 1'
_cell_length_a 4.225
_cell_length_b 4.225
_cell_length_c 11.529
_cell_angle_alpha 90.00
_cell_angle_beta 90.00
_cell_angle_gamma 90.00
loop_
_atom_site_label
_atom_site_fract_x
_atom_site_fract_y
_atom_site_fract_z
Ca1 0.000 0.500 0.229
Ca2 0.500 0.000 0.771
Tb1 0.000 0.000 0.500
Ga1 0.000 0.500 0.874
Ga2 0.500 0.000 0.126
Ga3 0.500 0.500 0.500
Pt1 0.000 0.000 0.000
Pt2 0.000 0.500 0.657
Pt3 0.500 0.000 0.343
Pt4 0.500 0.500 0.000
# total energy: -50.9 eV/f.u.
# DOS(E_F): 0.46 states/eV/atom
# ΔE_f: -0.91 eV per atom
# space-group type: No. 115

# 3
# CaTbGaPt PBE-GGA optimized geometry
data_CaTbGaPt
_symmetry_space_group_name_H-M 'P 1'
_symmetry_Int_Tables_number 1
_symmetry_space_group_name_Hall 'P 1'
_cell_length_a 5.023
_cell_length_b 5.023
_cell_length_c 5.023
_cell_angle_alpha 60.00
_cell_angle_beta 60.00
_cell_angle_gamma 60.00
loop_
_atom_site_label
_atom_site_fract_x
_atom_site_fract_y
_atom_site_fract_z
Ca1 0.000 0.000 0.000
Tb1 0.500 0.500 0.500
Ga1 0.750 0.750 0.750
Pt1 0.250 0.250 0.250
# total energy: -18.7 eV/f.u.
# DOS(E_F): 0.42 states/eV/atom
# ΔE to the lowest computed polymorph: 61 meV per atom
# ΔE_f: -0.76 eV per atom
# space-group type: No. 216

# 4
# CaGaTePt2 PBE-GGA optimized geometry
data_CaGaTePt2
_symmetry_space_group_name_H-M 'P 1'
_symmetry_Int_Tables_number 1
_symmetry_space_group_name_Hall 'P 1'
_cell_length_a 5.039
_cell_length_b 5.039
_cell_length_c 5.651
_cell_angle_alpha 90.00
_cell_angle_beta 90.00
_cell_angle_gamma 90.00
loop_
_atom_site_label
_atom_site_fract_x
_atom_site_fract_y
_atom_site_fract_z
Ca1 0.000 0.000 0.000
Ga1 0.500 0.500 0.000
Te1 0.000 0.000 0.500
Pt1 0.000 0.500 0.500
Pt2 0.500 0.000 0.500
# total energy: -19.3 eV/f.u.
# DOS(E_F): 0.45 states/eV/atom
# ΔE_f (raw): 0.190 eV/atom
# space-group type: No. 123

# 5
# CaThGa2Pt2 PBE-GGA optimized geometry
data_CaThGa2Pt2
_symmetry_space_group_name_H-M 'P 1'
_symmetry_Int_Tables_number 1
_symmetry_space_group_name_Hall 'P 1'
_cell_length_a 4.457
_cell_length_b 4.457
_cell_length_c 7.604
_cell_angle_alpha 90.00
_cell_angle_beta 90.00
_cell_angle_gamma 120.00
loop_
_atom_site_label
_atom_site_fract_x
_atom_site_fract_y
_atom_site_fract_z
Ca1 0.000 0.000 0.000
Th1 0.000 0.000 0.500
Ga1 0.333 0.667 0.757
Ga2 0.667 0.333 0.243
Pt1 0.333 0.667 0.270
Pt2 0.667 0.333 0.730
# total energy: -33.3 eV/f.u.
# DOS(E_F): 0.75 states/eV/atom
# ΔE_f: -0.95 eV per atom
# space-group type: No. 164

# 6
# Ca2TiGa4Pt3 PBE-GGA optimized geometry
data_Ca2TiGa4Pt3
_symmetry_space_group_name_H-M 'P 1'
_symmetry_Int_Tables_number 1
_symmetry_space_group_name_Hall 'P 1'
_cell_length_a 4.141
_cell_length_b 4.141
_cell_length_c 11.292
_cell_angle_alpha 90.00
_cell_angle_beta 90.00
_cell_angle_gamma 90.00
loop_
_atom_site_label
_atom_site_fract_x
_atom_site_fract_y
_atom_site_fract_z
Ca1 0.000 0.500 0.249
Ca2 0.500 0.000 0.751
Ti1 0.000 0.000 0.500
Ga1 0.000 0.000 0.000
Ga2 0.000 0.500 0.645
Ga3 0.500 0.000 0.355
Ga4 0.500 0.500 0.000
Pt1 0.000 0.500 0.867
Pt2 0.500 0.000 0.133
Pt3 0.500 0.500 0.500
# total energy: -49.5 eV/f.u.
# DOS(E_F): 0.78 states/eV/atom
# ΔE_f: -0.74 eV per atom
# space-group type: No. 115

# 7
# CaTiGa2Pt2 PBE-GGA optimized geometry
data_CaTiGa2Pt2
_symmetry_space_group_name_H-M 'P 1'
_symmetry_Int_Tables_number 1
_symmetry_space_group_name_Hall 'P 1'
_cell_length_a 4.376
_cell_length_b 4.376
_cell_length_c 6.795
_cell_angle_alpha 90.00
_cell_angle_beta 90.00
_cell_angle_gamma 120.00
loop_
_atom_site_label
_atom_site_fract_x
_atom_site_fract_y
_atom_site_fract_z
Ca1 0.000 0.000 0.000
Ti1 0.000 0.000 0.500
Ga1 0.333 0.667 0.296
Ga2 0.667 0.333 0.704
Pt1 0.333 0.667 0.694
Pt2 0.667 0.333 0.306
# total energy: -33.1 eV/f.u.
# DOS(E_F): 0.64 states/eV/atom
# ΔE_f: -0.85 eV per atom
# space-group type: No. 164

# 8
# Ca2TlGa3Pt4 PBE-GGA optimized geometry
data_Ca2TlGa3Pt4
_symmetry_space_group_name_H-M 'P 1'
_symmetry_Int_Tables_number 1
_symmetry_space_group_name_Hall 'P 1'
_cell_length_a 4.375
_cell_length_b 4.375
_cell_length_c 10.702
_cell_angle_alpha 90.00
_cell_angle_beta 90.00
_cell_angle_gamma 90.00
loop_
_atom_site_label
_atom_site_fract_x
_atom_site_fract_y
_atom_site_fract_z
Ca1 0.000 0.500 0.236
Ca2 0.500 0.000 0.764
Tl1 0.000 0.000 0.500
Ga1 0.000 0.500 0.880
Ga2 0.500 0.000 0.120
Ga3 0.500 0.500 0.500
Pt1 0.000 0.000 0.000
Pt2 0.000 0.500 0.652
Pt3 0.500 0.000 0.348
Pt4 0.500 0.500 0.000
# total energy: -46.9 eV/f.u.
# DOS(E_F): 0.42 states/eV/atom
# ΔE_f: -0.73 eV per atom
# space-group type: No. 115

Question: Which of these has the highest DOS(E_F)?
Answer: Ca2TiGa4Pt3

Question: Among the records above, which one has the lowest total energy?
Answer: Ca2TbGa3Pt4